# 1
Computed, not measured: a geometry-optimized Th6Te3Os2Pd structure at the PBE level of DFT.

```
12
Lattice="4.218 0.000 0.000 0.000 9.112 -0.147 -2.109 -3.124 9.292" Properties=species:S:1:pos:R:3 pbc="T T T"
Th 2.109 0.063 2.975
Th 2.109 3.943 8.905
Th 2.109 3.950 3.241
Os 2.109 4.002 6.108
Th 0.000 2.045 0.241
Pd 2.109 0.000 0.000
Th 0.000 5.925 6.171
Te 2.109 -0.584 6.218
Te 0.000 6.572 2.928
Th 0.000 2.039 5.905
Te 2.109 4.556 -0.073
Os 0.000 1.986 3.037
```

Values from the calculation:
For the density of states at the Fermi level, the calculation gives 8.812 states/eV/cell. The formation energy without anion corrections is -0.8734 eV/atom. Its crystal system is monoclinic.

---

# 2
Computed, not measured: a geometry-optimized TiTeOs2Pd structure at the PBE level of DFT.

```
5
Lattice="4.776 0.000 0.000 0.000 4.901 0.000 0.000 0.000 4.776" Properties=species:S:1:pos:R:3 pbc="T T T"
Ti 0.000 2.450 0.000
Te 0.000 0.000 0.000
Os 2.388 0.000 0.000
Os 0.000 0.000 2.388
Pd 2.388 2.450 2.388
```

Values from the calculation:
For the density of states at the Fermi level, the calculation gives 7.572 states/eV/cell. The formation energy without anion corrections is 1.8564 eV/atom. Its crystal system is tetragonal.

---

# 3
Computed, not measured: a geometry-optimized Th3OsPd2 structure at the PBE level of DFT.

```
24
Lattice="12.340 0.000 0.000 0.000 5.891 -0.008 0.000 0.015 8.462" Properties=species:S:1:pos:R:3 pbc="T T T"
Os 11.235 4.419 1.069
Th 5.242 4.428 7.236
Pd 7.161 4.423 1.049
Os 7.275 4.427 5.300
Th 9.232 4.434 7.403
Pd 3.211 4.418 1.032
Th 11.359 1.473 0.935
Pd 5.179 1.483 7.405
Os 1.105 1.487 7.385
Th 9.278 4.426 3.172
Os 5.065 1.479 3.154
Th 11.412 1.485 5.449
Th 3.108 1.472 1.051
Th 7.098 1.478 1.218
Pd 2.959 4.425 5.263
Th 7.151 1.481 5.166
Pd 0.991 1.476 3.174
Th 5.189 4.425 3.288
Th 0.981 4.433 7.519
Pd 9.381 1.481 3.191
Th 3.062 1.480 5.282
Pd 11.349 4.430 5.280
Th 0.928 4.421 3.005
Pd 9.129 1.488 7.422
```

Values from the calculation:
For the density of states at the Fermi level, the calculation gives 9.569 states/eV/cell. The formation energy comes out at -616 meV/atom. Its crystal system is orthorhombic.

---

# 4
Computed, not measured: a geometry-optimized Th4Os2Pd structure at the PBE level of DFT.

```
14
Lattice="7.929 -0.986 -0.162 -1.555 7.837 0.161 -3.070 -3.534 6.477" Properties=species:S:1:pos:R:3 pbc="T T T"
Os 2.069 -0.328 4.817
Pd 6.370 6.847 0.000
Th 2.030 -0.821 1.948
Th 5.969 -0.232 1.885
Th -0.058 -2.073 5.205
Os 3.605 1.439 1.579
Os -1.895 0.166 4.898
Os 2.827 5.357 1.659
Th 1.240 3.110 1.272
Pd -0.715 3.869 3.319
Th 0.245 1.899 5.267
Th 4.197 1.417 4.430
Th 5.179 3.699 1.210
Th 3.893 -2.554 4.368
```

Values from the calculation:
For the density of states at the Fermi level, the calculation gives 9.625 states/eV/cell. The formation energy comes out at -333 meV/atom. Its crystal system is orthorhombic.

---

# 5
Computed, not measured: a geometry-optimized Th4Os2Pd structure at the PBE level of DFT.

```
14
Lattice="0.908 3.790 -6.683 6.967 -2.105 2.624 -4.306 -6.353 -0.973" Properties=species:S:1:pos:R:3 pbc="T T T"
Th -1.315 -3.220 -5.112
Pd 3.088 0.202 -3.944
Os 3.245 -5.305 -0.917
Th 1.060 -2.726 -0.301
Pd 2.661 -8.458 1.651
Os 3.931 -1.186 -0.095
Th 4.548 -3.770 1.006
Os 0.487 -2.841 -3.023
Th 1.527 -5.521 -3.097
Os -0.526 -0.003 -6.030
Th -1.760 -5.120 -1.773
Th 3.688 -2.350 -2.613
Th 0.216 0.004 -3.346
Th 1.097 -6.112 0.817
```

Values from the calculation:
For the density of states at the Fermi level, the calculation gives 13.199 states/eV/cell. The formation energy comes out at -437 meV/atom. Its crystal system is tetragonal.

---

# 6
Computed, not measured: a geometry-optimized YThOsPd structure at the PBE level of DFT.

```
4
Lattice="5.000 0.000 0.000 2.500 4.330 0.000 2.500 1.443 4.082" Properties=species:S:1:pos:R:3 pbc="T T T"
Os 5.000 2.887 2.041
Th 2.500 1.443 1.021
Pd 0.000 0.000 0.000
Y 7.499 4.330 3.062
```

Values from the calculation:
For the density of states at the Fermi level, the calculation gives 3.084 states/eV/cell. The formation energy comes out at -507 meV/atom. Its crystal system is cubic.

---

# 7
Computed, not measured: a geometry-optimized ThZrOsPd structure at the PBE level of DFT.

```
4
Lattice="4.902 0.000 0.000 2.451 4.246 0.000 2.451 1.415 4.003" Properties=species:S:1:pos:R:3 pbc="T T T"
Th 0.000 0.000 0.000
Zr 4.902 2.830 2.001
Pd 7.354 4.246 3.002
Os 2.451 1.415 1.001
```

Values from the calculation:
For the density of states at the Fermi level, the calculation gives 3.881 states/eV/cell. The formation energy comes out at -406 meV/atom. Its crystal system is cubic.

---

# 8
Computed, not measured: a geometry-optimized Ti5Os4Pd structure at the PBE level of DFT.

```
10
Lattice="3.090 0.000 0.000 0.000 3.090 0.000 0.000 0.000 15.727" Properties=species:S:1:pos:R:3 pbc="T T T"
Ti 1.545 1.545 7.864
Os 0.000 0.000 6.315
Os 0.000 0.000 3.203
Ti 1.545 1.545 10.951
Os 0.000 0.000 9.412
Ti 1.545 1.545 1.698
Pd 0.000 0.000 0.000
Ti 1.545 1.545 14.029
Os 0.000 0.000 12.524
Ti 1.545 1.545 4.777
```

Values from the calculation:
For the density of states at the Fermi level, the calculation gives 7.289 states/eV/cell. The formation energy comes out at -652 meV/atom. Its crystal system is tetragonal.

---

# 9
Computed, not measured: a geometry-optimized Ti2OsPd structure at the PBE level of DFT.

```
8
Lattice="6.901 0.000 0.000 0.000 6.901 0.000 3.451 3.451 2.782" Properties=species:S:1:pos:R:3 pbc="T T T"
Os 6.901 3.451 1.391
Os 0.000 0.000 0.000
Pd 3.451 3.451 0.000
Ti 5.244 1.725 0.696
Ti 8.626 8.695 2.087
Pd 3.451 6.901 1.391
Ti 5.176 5.107 2.087
Ti 1.657 5.176 0.696
```

Values from the calculation:
For the density of states at the Fermi level, the calculation gives 7.915 states/eV/cell. The formation energy comes out at -16 meV/atom. Its crystal system is tetragonal.

---

# 10
Computed, not measured: a geometry-optimized Ti2Os2Pd structure at the PBE level of DFT.

```
10
Lattice="7.198 0.000 0.000 0.000 7.198 0.000 0.000 0.000 3.044" Properties=species:S:1:pos:R:3 pbc="T T T"
Pd 3.599 3.599 0.000
Pd 0.000 0.000 0.000
Ti 4.779 6.017 1.522
Os 0.968 2.631 0.000
Ti 1.181 4.779 1.522
Os 4.567 0.968 0.000
Os 6.230 4.567 0.000
Ti 6.017 2.418 1.522
Os 2.631 6.230 0.000
Ti 2.418 1.181 1.522
```

Values from the calculation:
For the density of states at the Fermi level, the calculation gives 6.479 states/eV/cell. The formation energy comes out at -201 meV/atom. Its crystal system is tetragonal.

---

# 11
Computed, not measured: a geometry-optimized Ti6OsPd2 structure at the PBE level of DFT.

```
9
Lattice="-3.593 -1.289 -2.013 -2.695 -0.899 5.387 0.986 7.166 -1.752" Properties=species:S:1:pos:R:3 pbc="T T T"
Ti -1.363 1.752 1.303
Ti -3.840 -1.327 3.080
Pd -3.867 0.944 1.665
Pd -1.434 4.033 -0.044
Ti -3.938 3.225 0.319
Ti -2.447 -0.862 0.294
Os 0.000 0.000 0.000
Ti -2.733 1.295 4.042
Ti -2.568 3.682 -2.420
```

Values from the calculation:
For the density of states at the Fermi level, the calculation gives 11.941 states/eV/cell. The formation energy comes out at -67 meV/atom. Its crystal system is monoclinic.

---

# 12
Computed, not measured: a geometry-optimized Ti2OsPd2 structure at the PBE level of DFT.

```
10
Lattice="-2.093 -6.296 -1.979 3.056 -2.765 5.564 -2.811 0.389 1.737" Properties=species:S:1:pos:R:3 pbc="T T T"
Os 0.481 -4.530 1.792
Ti 0.693 -1.955 1.559
Pd -0.119 -6.214 4.383
Ti -0.891 -4.617 -0.408
Pd -2.106 -6.212 1.168
Ti 1.853 -4.444 3.993
Ti 0.269 -7.106 2.026
Pd 0.258 -2.460 4.153
Pd -1.729 -2.458 0.938
Os 0.000 0.000 0.000
```

Values from the calculation:
For the density of states at the Fermi level, the calculation gives 6.637 states/eV/cell. The formation energy comes out at -162 meV/atom. Its crystal system is tetragonal.

---

# 13
Computed, not measured: a geometry-optimized Ti2OsPd2 structure at the PBE level of DFT.

```
5
Lattice="3.540 0.000 0.000 0.000 3.540 0.000 1.770 1.770 6.650" Properties=species:S:1:pos:R:3 pbc="T T T"
Pd 3.540 1.770 3.325
Os 0.000 0.000 0.000
Ti 1.770 1.770 1.308
Ti 3.540 3.540 5.341
Pd 1.770 3.540 3.325
```

Values from the calculation:
For the density of states at the Fermi level, the calculation gives 4.148 states/eV/cell. The formation energy comes out at 39 meV/atom. Its crystal system is tetragonal.

---

# 14
Computed, not measured: a geometry-optimized Ti2OsPd structure at the PBE level of DFT.

```
4
Lattice="3.058 0.000 0.000 0.000 3.058 0.000 0.000 0.000 6.585" Properties=species:S:1:pos:R:3 pbc="T T T"
Ti 0.000 0.000 5.036
Ti 0.000 0.000 1.548
Os 1.529 1.529 0.000
Pd 1.529 1.529 3.292
```

Values from the calculation:
For the density of states at the Fermi level, the calculation gives 4.478 states/eV/cell. The formation energy comes out at -582 meV/atom. Its crystal system is tetragonal.

---

# 15
Computed, not measured: a geometry-optimized Ti2OsPd2 structure at the PBE level of DFT.

```
10
Lattice="-0.614 -3.916 -6.072 1.349 -6.049 3.765 -2.908 -0.332 0.508" Properties=species:S:1:pos:R:3 pbc="T T T"
Ti -0.759 -7.796 -0.754
Ti -1.414 -2.501 -1.045
Os 0.000 0.000 0.000
Pd 0.312 -7.214 -2.929
Ti -1.524 -5.347 -3.528
Os 0.367 -4.982 -1.154
Pd 0.423 -2.751 0.622
Pd -0.213 -3.235 -3.332
Pd 0.948 -6.730 1.025
Ti -0.650 -4.950 1.729
```

Values from the calculation:
For the density of states at the Fermi level, the calculation gives 19.208 states/eV/cell. The formation energy comes out at -186 meV/atom. Its crystal system is tetragonal.

---

# 16
Computed, not measured: a geometry-optimized Ti2OsPd structure at the PBE level of DFT.

```
4
Lattice="3.125 0.000 0.000 0.000 4.422 0.000 0.000 0.000 4.422" Properties=species:S:1:pos:R:3 pbc="T T T"
Ti 0.000 2.211 0.000
Ti 0.000 0.000 2.211
Os 1.563 2.211 2.211
Pd 1.563 0.000 0.000
```

Values from the calculation:
For the density of states at the Fermi level, the calculation gives 3.468 states/eV/cell. The formation energy comes out at -559 meV/atom. Its crystal system is tetragonal.

---

# 17
Computed, not measured: a geometry-optimized TiVOsPd structure at the PBE level of DFT.

```
4
Lattice="4.375 0.000 0.000 2.187 3.788 0.000 2.187 1.263 3.572" Properties=species:S:1:pos:R:3 pbc="T T T"
Os 0.000 0.000 0.000
Pd 4.375 2.526 1.786
V 6.562 3.788 2.679
Ti 2.187 1.263 0.893
```

Values from the calculation:
For the density of states at the Fermi level, the calculation gives 4.634 states/eV/cell. The formation energy comes out at -305 meV/atom. Its crystal system is cubic.

---

# 18
Computed, not measured: a geometry-optimized Zr2Ti5Os2Pd structure at the PBE level of DFT.

```
20
Lattice="-2.131 -1.767 -1.393 7.670 -7.052 -2.788 -1.579 -5.364 9.223" Properties=species:S:1:pos:R:3 pbc="T T T"
Zr 5.235 -9.434 3.960
Ti -1.940 -5.537 6.548
Zr 4.919 -5.735 -0.249
Os 2.581 -3.297 0.235
Os 0.036 -4.365 5.484
Os 3.510 -9.119 6.201
Ti 1.905 -5.665 0.826
Pd 3.046 -6.208 3.218
Ti 0.382 -2.561 -0.783
Ti 0.372 -5.959 3.546
Zr 0.856 -2.982 2.475
Os 6.055 -8.050 0.951
Zr 1.172 -6.681 6.685
Ti -1.855 -3.566 3.915
Ti 3.578 -11.622 5.826
Pd 0.000 0.000 0.000
Ti 2.055 -8.519 4.217
Ti 5.900 -8.646 -1.505
Ti 2.769 -4.410 -2.090
Ti 3.588 -8.224 1.497
```

Values from the calculation:
For the density of states at the Fermi level, the calculation gives 24.049 states/eV/cell. The formation energy comes out at -296 meV/atom. Its crystal system is tetragonal.

---

# 19
Computed, not measured: a geometry-optimized TlOsPd3 structure at the PBE level of DFT.

```
5
Lattice="4.879 0.000 0.000 0.000 4.879 0.000 0.000 0.000 4.879" Properties=species:S:1:pos:R:3 pbc="T T T"
Pd 0.000 0.000 2.439
Pd 0.000 2.439 0.000
Tl 2.439 2.439 2.439
Os 0.000 0.000 0.000
Pd 2.439 0.000 0.000
```

Values from the calculation:
For the density of states at the Fermi level, the calculation gives 5.933 states/eV/cell. The formation energy comes out at 1017 meV/atom. Its crystal system is cubic.

---

# 20
Computed, not measured: a geometry-optimized TlOs2Pd structure at the PBE level of DFT.

```
4
Lattice="-0.647 0.039 4.474 -3.428 -2.327 1.809 0.827 -3.717 2.436" Properties=species:S:1:pos:R:3 pbc="T T T"
Tl -1.624 -3.002 4.359
Os -2.435 -4.503 6.539
Pd 0.000 0.000 0.000
Os -0.812 -1.501 2.180
```

Values from the calculation:
For the density of states at the Fermi level, the calculation gives 4.381 states/eV/cell. The formation energy comes out at 984 meV/atom. Its crystal system is cubic.

---

# 21
Computed, not measured: a geometry-optimized TlOs3Pd structure at the PBE level of DFT.

```
5
Lattice="-3.276 1.496 3.175 -1.453 -4.531 0.636 3.195 -0.527 3.544" Properties=species:S:1:pos:R:3 pbc="T T T"
Pd 0.000 0.000 0.000
Tl -0.767 -1.781 3.678
Os -1.638 0.748 1.587
Os -0.727 -2.266 0.318
Os 1.597 -0.263 1.772
```

Values from the calculation:
For the density of states at the Fermi level, the calculation gives 5.651 states/eV/cell. The formation energy comes out at 2541 meV/atom. Its crystal system is cubic.

---

# 22
Computed, not measured: a geometry-optimized Tl3OsPd structure at the PBE level of DFT.

```
5
Lattice="-4.515 -2.510 0.926 2.101 -2.203 4.274 -1.656 4.048 2.900" Properties=species:S:1:pos:R:3 pbc="T T T"
Tl -0.828 2.024 1.450
Tl 1.051 -1.102 2.137
Pd -2.035 -0.333 4.050
Tl -2.257 -1.255 0.463
Os 0.000 0.000 0.000
```

Values from the calculation:
For the density of states at the Fermi level, the calculation gives 3.399 states/eV/cell. The formation energy comes out at 757 meV/atom. Its crystal system is cubic.

---

# 23
Computed, not measured: a geometry-optimized TlOs2Pd structure at the PBE level of DFT.

```
8
Lattice="7.553 0.000 0.000 0.000 7.553 0.000 3.777 3.777 2.577" Properties=species:S:1:pos:R:3 pbc="T T T"
Os 5.665 5.821 1.933
Tl 7.553 3.777 1.289
Tl 0.000 0.000 0.000
Pd 3.777 3.777 0.000
Os 2.045 5.665 0.644
Os 9.442 9.285 1.933
Os 5.509 1.888 0.644
Pd 3.777 7.553 1.289
```

Values from the calculation:
For the density of states at the Fermi level, the calculation gives 12.031 states/eV/cell. The formation energy comes out at 1281 meV/atom. Its crystal system is tetragonal.

---

# 24
Computed, not measured: a geometry-optimized Tm3OsPd2 structure at the PBE level of DFT.

```
12
Lattice="-3.577 -0.189 -3.227 -2.675 -7.126 -0.219 -4.567 1.562 4.972" Properties=species:S:1:pos:R:3 pbc="T T T"
Os -2.081 -2.415 -1.153
Tm -2.901 0.286 -0.402
Pd 0.000 0.000 0.000
Pd -2.284 0.781 2.486
Tm -5.243 1.087 2.147
Pd -4.367 -1.654 1.337
Os -4.171 -4.900 -2.292
Tm -3.472 -4.365 0.503
Tm -4.975 -2.200 -1.558
Tm -7.347 -1.389 1.023
Tm -5.844 -3.554 3.084
Pd -6.452 -4.099 0.189
```

Values from the calculation:
For the density of states at the Fermi level, the calculation gives 6.662 states/eV/cell. The formation energy comes out at -745 meV/atom. Its crystal system is orthorhombic.